The following is a PBE calculation of a relaxed Hf3TiCo4 crystal, from Alexandria via LeMat-Bulk.

a b c (Å): 3.166 4.369 8.729
angles (deg): 90.00 90.00 90.00
Space group Pmmm (No. 47)
Asymmetric unit:
Hf 0.000 0.000 0.000 x1
Hf 0.000 0.500 0.257 x2
Ti 0.000 0.000 0.500 x1
Co 0.500 0.000 0.262 x2
Co 0.500 0.500 0.000 x1
Co 0.500 0.500 0.500 x1

## Properties
The total energy is -0.636 Ry/atom. The energy of formation from the pure elements comes out at -375 meV/atom. The value obtained for the volume is 121 Å³/cell.